{"formula": "NbAlB", "functional": "PBE-GGA", "state": "optimized geometry", "lattice_angstrom": [[-3.209, -2.480, 2.107], [2.158, -1.241, 1.826], [-0.599, 4.207, 3.566]], "species": ["Nb", "Nb", "B", "B", "Al", "Al"], "fractional_positions": [[0.885, 0.250, 0.217], [0.115, 0.750, 0.783], [0.606, 0.750, 0.972], [0.394, 0.250, 0.028], [0.625, 0.250, 0.675], [0.375, 0.750, 0.325]], "space_group": "P2_1/m", "formation_enthalpy_0k_ev_per_atom": -0.317, "crystal_system": "monoclinic", "total_energy_ev_per_atom": -7.147, "relative_energy_ev_per_atom": 0.223}